Y2Al3Co9: single point on PBEsol structure, meta-GGA SCAN.

space-group type: No. 63
ΔE_f: -3.1 eV per formula unit

Geometry as POSCAR:
```
Y2Al3Co9
1.0
6.223 -3.609 0.000
6.223 3.609 0.000
0.000 0.000 8.255
Y Al Co
4 6 18
Direct
0.017 0.675 0.750
0.325 0.983 0.750
0.675 0.017 0.250
0.983 0.325 0.250
0.000 0.000 0.000
0.000 0.000 0.500
0.313 0.313 0.000
0.313 0.313 0.500
0.687 0.687 0.000
0.687 0.687 0.500
0.021 0.659 0.094
0.021 0.659 0.406
0.167 0.833 0.250
0.341 0.979 0.094
0.341 0.979 0.406
0.344 0.656 0.502
0.344 0.656 0.998
0.354 0.464 0.250
0.464 0.354 0.750
0.536 0.646 0.250
0.646 0.536 0.750
0.656 0.344 0.002
0.656 0.344 0.498
0.659 0.021 0.594
0.659 0.021 0.906
0.833 0.167 0.750
0.979 0.341 0.594
0.979 0.341 0.906
```

BaNi2P2: single point on PBEsol structure, meta-GGA SCAN.

space-group type: No. 139
ΔE_f: -4.2 eV per formula unit

Geometry as POSCAR:
```
BaNi2P2
1.0
-1.937 1.937 5.924
1.937 -1.937 5.924
1.937 1.937 -5.924
Ba Ni P
1 2 2
Direct
0.000 0.000 0.000
0.250 0.750 0.500
0.750 0.250 0.500
0.342 0.342 0.000
0.658 0.658 0.000
```

SrLa2Si: single point on PBEsol structure, meta-GGA SCAN.

space-group type: No. 216
energy relative to the elements, uncorrected: 73 meV/atom

Geometry as POSCAR:
```
SrLa2Si
1.0
0.000 3.831 3.831
3.831 0.000 3.831
3.831 3.831 0.000
Sr La Si
1 2 1
Direct
0.000 0.000 0.000
0.250 0.250 0.250
0.500 0.500 0.500
0.750 0.750 0.750
```

AlSe2I: single point on PBEsol structure, meta-GGA SCAN.

space-group type: No. 122
energy relative to the elements, uncorrected: -142 meV/atom

Geometry as POSCAR:
```
AlSe2I
1.0
-3.716 3.716 3.755
3.716 -3.716 3.755
3.716 3.716 -3.755
Al Se I
2 4 2
Direct
0.000 0.000 0.000
0.750 0.250 0.500
0.041 0.125 0.416
0.375 0.959 0.084
0.709 0.625 0.584
0.875 0.291 0.916
0.250 0.750 0.500
0.500 0.500 0.000
```

AlFe3: single point on PBEsol structure, meta-GGA SCAN.

space-group type: No. 71
ΔE_f: -0.9 eV per formula unit

Geometry as POSCAR:
```
AlFe3
1.0
-1.457 1.986 3.937
1.457 -1.986 3.937
1.457 1.986 -3.937
Al Fe
1 3
Direct
0.000 0.000 0.000
0.259 0.759 0.500
0.500 0.500 0.000
0.741 0.241 0.500
```

BiP2NO: single point on PBEsol structure, meta-GGA SCAN.

space-group type: No. 123
energy relative to the elements, uncorrected: 711 meV/atom

Geometry as POSCAR:
```
BiP2NO
1.0
3.609 0.000 0.000
0.000 3.609 0.000
0.000 0.000 5.745
Bi P N O
1 2 1 1
Direct
0.000 0.000 0.000
0.000 0.500 0.500
0.500 0.000 0.500
0.500 0.500 0.500
0.500 0.500 0.000
```

EuH2: single point on PBEsol structure, meta-GGA SCAN.

space-group type: No. 194
energy: -20.856 eV/atom

Geometry as POSCAR:
```
EuH2
1.0
3.911 0.000 0.000
-1.955 3.387 0.000
0.000 0.000 5.244
Eu H
2 4
Direct
0.333 0.667 0.250
0.667 0.333 0.750
0.000 0.000 0.000
0.000 0.000 0.500
0.333 0.667 0.750
0.667 0.333 0.250
```

Na3LiV4O12: single point on PBEsol structure, meta-GGA SCAN.

space-group type: No. 5
energy relative to the elements, uncorrected: -2516 meV/atom

Geometry as POSCAR:
```
Na3LiV4O12
1.0
5.212 -4.622 0.000
5.212 4.622 0.000
-2.014 0.000 5.487
Na Li V O
3 1 4 12
Direct
0.000 0.000 0.000
0.366 0.634 0.000
0.797 0.203 0.500
0.183 0.817 0.500
0.285 0.302 0.509
0.462 0.115 0.999
0.698 0.715 0.491
0.885 0.538 0.001
0.062 0.698 0.118
0.110 0.140 0.420
0.188 0.532 0.563
0.302 0.938 0.882
0.430 0.268 0.287
0.446 0.273 0.794
0.468 0.812 0.437
0.688 0.013 0.062
0.727 0.554 0.206
0.732 0.570 0.713
0.860 0.890 0.580
0.987 0.312 0.938
```

Cu2ReCl: single point on PBEsol structure, meta-GGA SCAN.

space-group type: No. 123
energy relative to the elements, uncorrected: 439 meV/atom
energy above the lowest structure with this stoichiometry: 0 kJ/mol of formula units

Geometry as POSCAR:
```
Cu2ReCl
1.0
2.756 0.000 0.000
0.000 2.756 0.000
0.000 0.000 7.318
Cu Re Cl
2 1 1
Direct
0.000 0.000 0.245
0.000 0.000 0.755
0.500 0.500 0.000
0.500 0.500 0.500
```

InPPd5: single point on PBEsol structure, meta-GGA SCAN.

space-group type: No. 123
ΔE_f: -4.2 eV per formula unit

Geometry as POSCAR:
```
InPPd5
1.0
3.919 0.000 0.000
0.000 3.919 0.000
0.000 0.000 6.897
In P Pd
1 1 5
Direct
0.000 0.000 0.000
0.500 0.500 0.500
0.000 0.500 0.299
0.000 0.500 0.701
0.500 0.000 0.299
0.500 0.000 0.701
0.500 0.500 0.000
```

AlSi2Au: single point on PBEsol structure, meta-GGA SCAN.

space-group type: No. 216
energy relative to the elements, uncorrected: 362 meV/atom

Geometry as POSCAR:
```
AlSi2Au
1.0
0.000 3.175 3.175
3.175 0.000 3.175
3.175 3.175 0.000
Al Si Au
1 2 1
Direct
0.000 0.000 0.000
0.250 0.250 0.250
0.500 0.500 0.500
0.750 0.750 0.750
```

Pm2CuPt: single point on PBEsol structure, meta-GGA SCAN.

space-group type: No. 225
ΔE_f: -3.1 eV per formula unit

Geometry as POSCAR:
```
Pm2CuPt
1.0
0.000 3.515 3.515
3.515 0.000 3.515
3.515 3.515 0.000
Pm Cu Pt
2 1 1
Direct
0.250 0.250 0.250
0.750 0.750 0.750
0.000 0.000 0.000
0.500 0.500 0.500
```